# 1
Density functional theory data (PBE) for a relaxed structure of Nd8YSc2.

The value obtained for the uncorrected energy is -111.14 eV per cell. The value obtained for the formation energy is 155 meV per atom. Its energy above the lowest structure with this stoichiometry is 0.031 eV/atom.

It has space group C2/m (No. 12), with a = 9.068 Å, b = 16.258 Å, c = 5.920 Å, α = 90.00°, β = 122.63° and γ = 90.00°. The distinct sites, in fractional coordinates, are Nd at (0.000, 0.209, 0.000), Nd at (0.078, 0.500, 0.795), Nd at (0.217, 0.120, 0.674), Y at (0.000, 0.000, 0.000) and Sc at (0.000, 0.311, 0.500).

# 2
Density functional theory data (PBE) for a relaxed structure of SmNp2Si6.

The value obtained for the uncorrected energy is -66.42 eV per cell. As for the formation energy from raw total energies: -0.365 eV/atom.

It has space group P6/mmm (No. 191), with a = 7.0456 Å, b = 7.0456 Å, c = 3.8981 Å, α = 90.00°, β = 90.00° and γ = 120.00°. The distinct sites, in fractional coordinates, are Sm at (0.0000, 0.0000, 0.0000), Np at (0.3333, 0.6667, 0.0000) and Si at (0.0000, 0.3354, 0.5000).

# 3
Density functional theory data (PBE) for a relaxed structure of Cs2Ag2Sb.

The value obtained for the uncorrected energy is -23.88 eV per cell. As for the formation energy from raw total energies: -0.081 eV/atom. Its energy above the lowest structure with this stoichiometry is 0.000 eV/atom.

It has space group P4/mbm (No. 127), with a = 7.655 Å, b = 7.655 Å, c = 5.983 Å, α = 90.00°, β = 90.00° and γ = 90.00°. The distinct sites, in fractional coordinates, are Cs at (0.183, 0.317, 0.000), Ag at (0.135, 0.635, 0.500) and Sb at (0.000, 0.000, 0.500).

# 4
Density functional theory data (PBE) for a relaxed structure of La2PPb.

The value obtained for the uncorrected energy is -78.35 eV per cell. The value obtained for the formation energy is -153 meV per atom. Its energy above the lowest structure with this stoichiometry is 0.903 eV/atom.

It has space group F-43m (No. 216), with a = 7.573 Å, b = 7.573 Å, c = 7.573 Å, α = 90.00°, β = 90.00° and γ = 90.00°. The distinct sites, in fractional coordinates, are La at (0.000, 0.000, 0.000), La at (0.250, 0.250, 0.250), P at (0.000, 0.000, 0.500) and Pb at (0.250, 0.250, 0.750).

# 5
Density functional theory data (PBE) for a relaxed structure of SmGdCo.

The value obtained for the uncorrected energy is -26.04 eV per cell. The value obtained for the formation energy is -44 meV per atom. Its energy above the lowest structure with this stoichiometry is 0.008 eV/atom.

It has space group P3m1 (No. 156), with a = 3.9304 Å, b = 3.9304 Å, c = 6.2521 Å, α = 90.00°, β = 90.00° and γ = 120.00°. The distinct sites, in fractional coordinates, are Sm at (0.0000, 0.0000, 0.0000), Gd at (0.6667, 0.3333, 0.5360) and Co at (0.3333, 0.6667, 0.7636).

# 6
Density functional theory data (PBE) for a relaxed structure of Y2TaW.

The value obtained for the uncorrected energy is -35.25 eV per cell. The value obtained for the formation energy is 620 meV per atom. Its energy above the lowest structure with this stoichiometry is 0.403 eV/atom.

It has space group P4/mmm (No. 123), with a = 2.966 Å, b = 2.966 Å, c = 10.046 Å, α = 90.00°, β = 90.00° and γ = 90.00°. The distinct sites, in fractional coordinates, are Y at (0.000, 0.000, 0.244), Ta at (0.500, 0.500, 0.500) and W at (0.500, 0.500, 0.000).

no.,magnetic moment (μB per atom)
1,0.000
2,0.834
3,0.000
4,0.000
5,2.440
6,0.000